Record 1
DFT (PBE) results for an optimized crystal structure of Sr6In2AuO.

Geometry as POSCAR:
```
Sr6In2AuO
1.0
7.9185 0.0000 0.0000
0.0000 7.9184 0.0000
0.0000 0.0000 11.1254
Sr In O Au
12 4 2 2
direct
0.7670 0.9842 0.0000
0.7334 0.4821 0.5000
0.0000 0.7509 0.2326
0.0000 0.7509 0.7674
0.2334 0.5179 0.0000
0.7330 0.0158 0.5000
0.5000 0.2491 0.7326
0.2330 0.9842 0.0000
0.5000 0.2491 0.2674
0.2670 0.0158 0.5000
0.2666 0.4821 0.5000
0.7666 0.5179 0.0000
0.5000 0.7502 0.2499
0.0000 0.2498 0.2501
0.5000 0.7502 0.7501
0.0000 0.2498 0.7499
0.0000 0.7508 0.0000
0.5000 0.2492 0.5000
0.0000 0.7490 0.5000
0.5000 0.2510 0.0000
```

Results
* uncorrected formation energy: -0.7732 eV per atom
* DOS(E_F): 7.22 states/eV/f.u.

Record 2
DFT (PBE) results for an optimized crystal structure of TbYHo.

Geometry as POSCAR:
```
TbYHo
1.0
3.5186 -0.0026 0.0041
1.7540 5.7972 -0.4507
0.0095 0.7747 9.5265
Y Ho Tb
2 2 2
direct
0.1317 0.2789 0.7706
0.3138 0.9127 0.2698
0.5886 0.3622 0.0911
0.8569 0.8294 0.9493
0.8545 0.8289 0.5942
0.5910 0.3627 0.4462
```

Results
* energy of formation: 0.1214 eV/atom
* DOS(E_F): 5.41 states/eV/f.u.
* energy relative to the lowest polymorph listed for this composition: 100.0 meV per atom

Record 3
DFT (PBE) results for an optimized crystal structure of Rb2LiICl4.

Geometry as POSCAR:
```
Rb2LiICl4
1.0
8.9717 -2.0864 -0.1773
-2.0927 8.9702 -0.1773
-3.5170 -3.5194 8.4866
Rb Cl I Li
4 8 2 2
direct
0.0000 0.0000 0.5000
0.5000 0.0000 0.5000
0.5000 0.5000 0.0000
0.5000 0.0000 0.0000
0.3109 0.7030 0.1159
0.7970 0.1891 0.3841
0.6891 0.2970 0.8841
0.2030 0.8109 0.6159
0.0361 0.1974 0.8552
0.9639 0.8026 0.1448
0.6974 0.5361 0.3552
0.3026 0.4639 0.6448
0.0000 0.0000 0.0000
0.5000 0.5000 0.5000
0.0000 0.5000 0.5000
0.0000 0.5000 0.0000
```

Results
* uncorrected formation energy: -1.4107 eV per atom
* DOS(E_F): 0.00 states/eV/f.u.

Record 4
DFT (PBE) results for an optimized crystal structure of HfNb2Pd9.

Geometry as POSCAR:
```
HfNb2Pd9
1.0
-0.2476 3.9737 0.2929
-2.6016 -0.3835 3.0037
9.0682 -0.0139 7.8525
Pd Nb Hf
9 2 1
direct
0.5000 0.0000 0.1678
0.5000 0.5000 0.0000
0.0000 0.5000 0.8322
0.5000 0.0000 0.8322
0.0000 0.5000 0.5000
0.5000 0.0000 0.5000
0.5000 0.5000 0.6662
0.5000 0.5000 0.3338
0.0000 0.5000 0.1678
0.0000 0.0000 0.6654
0.0000 0.0000 0.3346
0.0000 0.0000 0.0000
```

Results
* energy of formation: -0.4703 eV/atom
* DOS(E_F): 10.58 states/eV/f.u.

Record 5
DFT (PBE) results for an optimized crystal structure of ZrTl2Fe.

Geometry as POSCAR:
```
ZrTl2Fe
1.0
5.3772 0.1044 0.0000
-1.8314 5.0568 0.0000
0.0000 0.0000 3.1181
Tl Zr Fe
2 1 1
direct
0.0000 0.0000 0.0000
0.5000 0.5000 0.0000
0.5000 0.0000 0.5000
0.0000 0.5000 0.5000
```

Results
* energy of formation: 0.3418 eV/atom
* DOS(E_F): 2.72 states/eV/f.u.
* energy relative to the lowest polymorph listed for this composition: 148.0 meV per atom

Record 6
DFT (PBE) results for an optimized crystal structure of RbHgTe2Au.

Geometry as POSCAR:
```
RbHgTe2Au
1.0
6.9648 0.0000 0.0000
0.0000 7.2293 -0.1200
0.0000 -2.3243 7.6962
Rb Au Hg Te
2 2 2 4
direct
0.8015 0.5000 0.2500
0.1985 0.5000 0.7500
0.0000 0.0000 0.5000
0.0000 0.0000 0.0000
0.4823 0.0000 0.7500
0.5177 0.0000 0.2500
0.2951 0.7682 0.4332
0.7049 0.7682 0.9332
0.2951 0.2318 0.0668
0.7049 0.2318 0.5668
```

Results
* uncorrected formation energy: -0.4499 eV per atom

Here are the calculated calculated total energy numbers, same order: -3.154 -5.103 -3.009 -6.873 -5.094 -2.616 (eV per atom).